1.
Material: BaCa2AgF8
Method: DFT, GGA-PBE
State: optimized geometry

Cell: 4.185 5.842 8.024 Å, 86.90 88.76 88.01°
Fractional coordinates of all 12 atoms:
Ba (0.000, 0.000, 0.000)
Ca (0.467, 0.497, 0.256)
Ca (0.533, 0.503, 0.744)
Ag (0.000, 0.000, 0.500)
F (0.042, 0.337, 0.761)
F (0.104, 0.194, 0.281)
F (0.396, 0.738, 0.490)
F (0.491, 0.725, 0.987)
F (0.509, 0.275, 0.013)
F (0.604, 0.262, 0.510)
F (0.896, 0.806, 0.719)
F (0.958, 0.663, 0.239)

## Properties
* space group: P-1
* DFT total energy: -61.8 eV for the cell shown


2.
Material: NaLiCrCl6
Method: DFT, GGA-PBE
State: optimized geometry

Cell: 6.327 6.327 6.067 Å, 90.00 90.00 120.00°
Fractional coordinates of all 9 atoms:
Na (0.000, 0.000, 0.000)
Li (0.333, 0.667, 0.500)
Cr (0.667, 0.333, 0.500)
Cl (0.377, 0.027, 0.720)
Cl (0.377, 0.350, 0.280)
Cl (0.650, 0.027, 0.280)
Cl (0.650, 0.623, 0.720)
Cl (0.973, 0.350, 0.720)
Cl (0.973, 0.623, 0.280)

## Properties
* space group: P312
* DFT total energy: -35.3 eV for the cell shown


3.
Material: BaLa2YPd
Method: DFT, GGA-PBE
State: optimized geometry

Cell: 5.743 5.743 6.247 Å, 90.00 90.00 90.00°
Fractional coordinates of all 5 atoms:
Ba (0.000, 0.000, 0.000)
La (0.000, 0.500, 0.500)
La (0.500, 0.000, 0.500)
Y (0.000, 0.000, 0.500)
Pd (0.500, 0.500, 0.000)

## Properties
* ΔE to the lowest computed polymorph: 999 meV per atom
* space group: P4/mmm
* E_form: 19.12 kcal/mol of atoms
* DFT total energy: -19.3 eV for the cell shown


4.
Material: Ba2AlP2
Method: DFT, GGA-PBE
State: optimized geometry

Cell: 7.791 7.791 4.656 Å, 90.00 90.00 90.00°
Fractional coordinates of all 10 atoms:
Ba (0.150, 0.350, 0.000)
Ba (0.350, 0.850, 0.000)
Ba (0.650, 0.150, 0.000)
Ba (0.850, 0.650, 0.000)
Al (0.000, 0.000, 0.500)
Al (0.500, 0.500, 0.500)
P (0.168, 0.668, 0.500)
P (0.332, 0.168, 0.500)
P (0.668, 0.832, 0.500)
P (0.832, 0.332, 0.500)

## Properties
* ΔE to the lowest computed polymorph: 354 meV per atom
* space group: P4/mbm
* E_form: -11.57 kcal/mol of atoms
* DFT total energy: -41.8 eV for the cell shown


5.
Material: AcY6Tm2
Method: DFT, GGA-PBE
State: optimized geometry

Cell: 8.977 8.977 9.248 Å, 103.41 103.41 58.52°
Fractional coordinates of all 18 atoms:
Ac (0.077, 0.923, 0.750)
Ac (0.923, 0.077, 0.250)
Y (0.089, 0.636, 0.993)
Y (0.105, 0.679, 0.382)
Y (0.314, 0.447, 0.688)
Y (0.321, 0.895, 0.118)
Y (0.364, 0.911, 0.507)
Y (0.447, 0.314, 0.188)
Y (0.553, 0.686, 0.812)
Y (0.636, 0.089, 0.493)
Y (0.679, 0.105, 0.882)
Y (0.686, 0.553, 0.312)
Y (0.895, 0.321, 0.618)
Y (0.911, 0.364, 0.007)
Tm (0.154, 0.292, 0.353)
Tm (0.292, 0.154, 0.853)
Tm (0.708, 0.846, 0.147)
Tm (0.846, 0.708, 0.647)

## Properties
* space group: C2/c
* E_form: 4.75 kcal/mol of atoms
* DFT total energy: -100.0 eV for the cell shown


6.
Material: GaPd6Au3
Method: DFT, GGA-PBE
State: optimized geometry

Cell: 6.426 7.398 8.871 Å, 90.00 126.31 90.00°
Fractional coordinates of all 20 atoms:
Ga (0.000, 0.000, 0.000)
Ga (0.000, 0.500, 0.500)
Pd (0.018, 0.155, 0.746)
Pd (0.018, 0.345, 0.246)
Pd (0.314, 0.244, 0.118)
Pd (0.314, 0.256, 0.618)
Pd (0.386, 0.628, 0.527)
Pd (0.386, 0.872, 0.027)
Pd (0.614, 0.128, 0.973)
Pd (0.614, 0.372, 0.473)
Pd (0.686, 0.744, 0.382)
Pd (0.686, 0.756, 0.882)
Pd (0.982, 0.655, 0.754)
Pd (0.982, 0.845, 0.254)
Au (0.205, 0.609, 0.142)
Au (0.205, 0.891, 0.642)
Au (0.500, 0.000, 0.500)
Au (0.500, 0.500, 0.000)
Au (0.795, 0.109, 0.358)
Au (0.795, 0.391, 0.858)

## Properties
* ΔE to the lowest computed polymorph: 129 meV per atom
* space group: P2_1/c
* E_form: -2.55 kcal/mol of atoms
* DFT total energy: -90.2 eV for the cell shown


7.
Material: Sr5TmTl6
Method: DFT, GGA-PBE
State: optimized geometry

Cell: 5.717 8.039 9.051 Å, 90.00 108.14 90.00°
Fractional coordinates of all 12 atoms:
Sr (0.000, 0.000, 0.000)
Sr (0.329, 0.000, 0.659)
Sr (0.330, 0.500, 0.661)
Sr (0.670, 0.500, 0.339)
Sr (0.671, 0.000, 0.341)
Tm (0.000, 0.500, 0.000)
Tl (0.158, 0.266, 0.315)
Tl (0.158, 0.734, 0.315)
Tl (0.500, 0.270, 0.000)
Tl (0.500, 0.730, 0.000)
Tl (0.842, 0.266, 0.685)
Tl (0.842, 0.734, 0.685)

## Properties
* space group: P2/m
* E_form: -9.16 kcal/mol of atoms
* DFT total energy: -31.8 eV for the cell shown


8.
Material: RuS2NO
Method: DFT, GGA-PBE
State: optimized geometry

Cell: 4.668 4.668 3.640 Å, 90.00 90.00 90.00°
Fractional coordinates of all 5 atoms:
Ru (0.000, 0.000, 0.000)
S (0.000, 0.500, 0.000)
S (0.500, 0.000, 0.000)
N (0.000, 0.000, 0.500)
O (0.500, 0.500, 0.500)

## Properties
* ΔE to the lowest computed polymorph: 0 meV per atom
* space group: P4/mmm
* DFT total energy: -25.2 eV for the cell shown


9.
Material: LiH2Pb
Method: DFT, GGA-PBE
State: optimized geometry

Cell: 3.083 6.003 7.718 Å, 98.68 90.29 104.06°
Fractional coordinates of all 8 atoms:
Li (0.000, 0.000, 0.000)
Li (0.069, 0.175, 0.302)
H (0.165, 0.334, 0.086)
H (0.505, 0.017, 0.168)
H (0.850, 0.511, 0.417)
H (0.880, 0.523, 0.321)
Pb (0.243, 0.507, 0.888)
Pb (0.518, 0.052, 0.643)

## Properties
* ΔE to the lowest computed polymorph: 98 meV per atom
* space group: P1
* DFT total energy: -24.7 eV for the cell shown


10.
Material: BeNi2N
Method: DFT, GGA-PBE
State: optimized geometry

Cell: 5.684 5.684 5.684 Å, 133.57 133.57 67.77°
Fractional coordinates of all 8 atoms:
Be (0.000, 0.000, 0.000)
Be (0.750, 0.250, 0.500)
Ni (0.204, 0.625, 0.079)
Ni (0.375, 0.454, 0.579)
Ni (0.546, 0.125, 0.921)
Ni (0.875, 0.796, 0.421)
N (0.250, 0.750, 0.500)
N (0.500, 0.500, 0.000)

## Properties
* ΔE to the lowest computed polymorph: 0 meV per atom
* space group: I-42d
* DFT total energy: -43.6 eV for the cell shown


11.
Material: Pm2Al3Au2
Method: DFT, GGA-PBE
State: optimized geometry

Cell: 9.754 9.754 7.386 Å, 90.00 90.00 154.08°
Fractional coordinates of all 14 atoms:
Pm (0.054, 0.946, 0.750)
Pm (0.158, 0.842, 0.250)
Pm (0.842, 0.158, 0.750)
Pm (0.946, 0.054, 0.250)
Al (0.224, 0.776, 0.750)
Al (0.440, 0.560, 0.575)
Al (0.440, 0.560, 0.925)
Al (0.560, 0.440, 0.075)
Al (0.560, 0.440, 0.425)
Al (0.776, 0.224, 0.250)
Au (0.312, 0.688, 0.050)
Au (0.312, 0.688, 0.450)
Au (0.688, 0.312, 0.550)
Au (0.688, 0.312, 0.950)

## Properties
* ΔE to the lowest computed polymorph: 60 meV per atom
* space group: Cmcm
* E_form: -13.93 kcal/mol of atoms
* DFT total energy: -63.0 eV for the cell shown


12.
Material: CaPmGaAu
Method: DFT, GGA-PBE
State: optimized geometry

Cell: 3.678 3.678 7.343 Å, 90.00 90.00 90.00°
Fractional coordinates of all 4 atoms:
Ca (0.000, 0.000, 0.000)
Pm (0.000, 0.000, 0.503)
Ga (0.500, 0.500, 0.260)
Au (0.500, 0.500, 0.748)

## Properties
* ΔE to the lowest computed polymorph: 7 meV per atom
* space group: P4mm
* E_form: -14.85 kcal/mol of atoms
* DFT total energy: -15.6 eV for the cell shown